Entry 1:
VASP calculation (PBE-GGA) on a relaxed PrFe3P3 crystal.

The structure belongs to space group R-3 (No. 148, hexagonal axes); the cell edges are 6.3418, 6.3418 and 20.3308 Å and the angles 90.00°, 90.00° and 120.00°. The inequivalent atoms are Pr at (0.0000, 0.0000, 0.1670), Fe at (0.0127, 0.6523, 0.3740) and P at (0.0103, 0.6992, 0.5986).



Entry 2:
VASP calculation (PBE-GGA) on a relaxed Pr2FeP crystal.

The structure belongs to space group R-3m (No. 166, hexagonal axes); the cell edges are 3.9700, 3.9700 and 26.6231 Å and the angles 90.00°, 90.00° and 120.00°. The inequivalent atoms are Pr at (0.0000, 0.0000, 0.1032), Fe at (0.0000, 0.0000, 0.0000) and P at (0.0000, 0.0000, 0.5000).



Entry 3:
VASP calculation (PBE-GGA) on a relaxed PrFe4P12 crystal.

The structure belongs to space group Im-3 (No. 204); the cell edges are 7.8148, 7.8148 and 7.8148 Å and the angles 90.00°, 90.00° and 90.00°. The inequivalent atoms are Pr at (0.0000, 0.0000, 0.0000), Fe at (0.2500, 0.2500, 0.2500) and P at (0.0000, 0.1519, 0.3535).



Entry 4:
VASP calculation (PBE-GGA) on a relaxed Pr2Fe12P7 crystal.

The structure belongs to space group P-6 (No. 174); the cell edges are 9.0585, 9.0585 and 3.6922 Å and the angles 90.00°, 90.00° and 120.00°. The inequivalent atoms are Pr at (0.0000, 0.0000, 0.0000), Pr at (0.3333, 0.6667, 0.5000), Fe at (0.0490, 0.2854, 0.5000), Fe at (0.0903, 0.7020, 0.0000), Fe at (0.3949, 0.1814, 0.0000), Fe at (0.5502, 0.4297, 0.5000), P at (0.0729, 0.4395, 0.0000), P at (0.2715, 0.2272, 0.5000) and P at (0.6667, 0.3333, 0.0000).



Results for energy relative to the elements: -606.6 52.7 -590.9 -640.3 (in meV per atom, following the order of the records).
Results for total DFT energy (no corrections): -303.86 -69.66 -227.19 -162.43 (in eV/cell, following the order of the records).
Results for total magnetic moment: 1.192 1.833 0.000 1.096 (in μB/f.u., following the order of the records).